No. 1
The following is a DFT calculation (GGA-PBE) of BeAg2Pb after structural relaxation.

abc: 4.787 4.787 3.549
angles: 90.00 90.00 106.88
Sites, in units of the cell vectors:
Ag 0.500 0.500 0.000
Ag 0.000 0.000 0.000
Be 0.500 0.000 0.500
Pb 0.000 0.500 0.500

Space group = Cmmm, No. 65
Crystal system = orthorhombic
VASP energy = -11.33 eV per cell
Formation energy from the elements = 0.4515 eV per atom

***

No. 2
The following is a DFT calculation (GGA-PBE) of Ca2HgPb5 after structural relaxation.

abc: 4.810 7.110 13.757
angles: 90.00 90.00 90.00
Sites, in units of the cell vectors:
Hg 0.000 0.500 0.000
Hg 0.000 0.000 0.500
Pb 0.000 0.500 0.500
Pb 0.000 0.006 0.751
Pb 0.500 0.752 0.624
Pb 0.000 0.994 0.249
Pb 0.500 0.248 0.376
Pb 0.000 0.506 0.749
Pb 0.000 0.000 0.000
Pb 0.000 0.494 0.251
Pb 0.500 0.252 0.876
Pb 0.500 0.748 0.124
Ca 0.500 0.756 0.378
Ca 0.500 0.744 0.878
Ca 0.500 0.244 0.622
Ca 0.500 0.256 0.122

Space group = Pbam, No. 55
Crystal system = orthorhombic
VASP energy = -50.85 eV per cell
Formation energy from the elements = -0.3226 eV per atom

***

No. 3
The following is a DFT calculation (GGA-PBE) of Ce2PrDy6Ho3 after structural relaxation.

abc: 6.143 6.143 11.755
angles: 95.00 95.00 120.01
Last column: magnetic moment on the atom in μB.
Sites, in units of the cell vectors:
Dy 0.916 0.579 0.749  0.01
Dy 0.084 0.421 0.251  0.01
Dy 0.421 0.084 0.251  0.01
Dy 0.579 0.916 0.749  0.01
Dy 0.748 0.748 0.251  0.01
Dy 0.252 0.252 0.749  0.01
Ho 0.500 0.500 0.500  -0.02
Ho 0.166 0.834 0.500  -0.02
Ho 0.834 0.166 0.500  -0.02
Ce 0.667 0.333 0.000  0.73
Ce 0.333 0.667 0.000  0.73
Pr 0.000 0.000 0.000  0.00

Space group = C2/m, No. 12
Crystal system = monoclinic
VASP energy = -57.38 eV per cell
Formation energy from the elements = 0.0515 eV per atom

***

No. 4
The following is a DFT calculation (GGA-PBE) of Dy2BeNi after structural relaxation.

abc: 3.412 3.412 6.696
angles: 90.00 90.00 90.00
Sites, in units of the cell vectors:
Be 0.500 0.500 0.000
Dy 0.000 0.000 0.253
Dy 0.000 0.000 0.747
Ni 0.500 0.500 0.500

Space group = P4/mmm, No. 123
Crystal system = tetragonal
VASP energy = -19.34 eV per cell
Formation energy from the elements = -0.1579 eV per atom

***

No. 5
The following is a DFT calculation (GGA-PBE) of SmEr2Mg4 after structural relaxation.

abc: 5.362 5.362 8.196
angles: 109.09 109.09 90.00
Last column: magnetic moment on the atom in μB.
Sites, in units of the cell vectors:
Mg 0.119 0.619 0.239  0.00
Mg 0.619 0.119 0.239  0.00
Mg 0.381 0.881 0.761  0.00
Mg 0.881 0.381 0.761  0.00
Sm 0.000 0.000 0.000  -0.01
Er 0.750 0.750 0.501  0.07
Er 0.250 0.250 0.499  0.07

Space group = I4/mmm, No. 139
Crystal system = tetragonal
VASP energy = -19.20 eV per cell
Formation energy from the elements = 0.1463 eV per atom

***

No. 6
The following is a DFT calculation (GGA-PBE) of KCdHg2 after structural relaxation.

abc: 5.614 5.614 5.750
angles: 68.39 68.39 50.88
Sites, in units of the cell vectors:
Hg 0.995 0.995 0.019
Hg 0.725 0.725 0.830
K 0.502 0.502 0.498
Cd 0.278 0.278 0.153

Space group = Cm, No. 8
Crystal system = monoclinic
VASP energy = -3.15 eV per cell
Formation energy from the elements = -0.1327 eV per atom

***

No. 7
The following is a DFT calculation (GGA-PBE) of MnAgHg2 after structural relaxation.

abc: 3.406 3.406 6.817
angles: 90.00 90.00 90.00
Last column: magnetic moment on the atom in μB.
Sites, in units of the cell vectors:
Hg 0.500 0.500 0.280  0.00
Hg 0.000 0.000 0.980  0.01
Mn 0.000 0.000 0.514  3.94
Ag 0.500 0.500 0.727  0.03

Space group = P4mm, No. 99
Crystal system = tetragonal
VASP energy = -11.69 eV per cell
Formation energy from the elements = 0.2345 eV per atom

***

No. 8
The following is a DFT calculation (GGA-PBE) of Pr2PuPaRu2 after structural relaxation.

abc: 7.274 7.119 8.065
angles: 116.19 116.81 90.00
Last column: magnetic moment on the atom in μB.
Sites, in units of the cell vectors:
Pu 0.000 0.750 0.000  5.09
Pu 0.000 0.250 0.000  5.09
Ru 0.804 0.067 0.133  -0.12
Ru 0.196 0.933 0.867  -0.12
Ru 0.671 0.433 0.867  -0.12
Ru 0.329 0.567 0.133  -0.12
Pr 0.406 0.194 0.388  0.09
Pr 0.982 0.694 0.388  0.09
Pr 0.018 0.306 0.612  0.09
Pr 0.594 0.806 0.612  0.09
Pa 0.500 0.750 0.000  0.32
Pa 0.500 0.250 0.000  0.32

Space group = Ibam, No. 72
Crystal system = orthorhombic
VASP energy = -106.28 eV per cell
Formation energy from the elements = -0.2000 eV per atom